[1]
Compound: SrPaIn2Cl8
Source: the Alexandria database
Functional: GGA-PBE
Structure: optimized geometry

Raw formation energy in eV/atom: -1.671

CIF file:
```
data_SrPaIn2Cl8
_cell_length_a 7.0068
_cell_length_b 8.8006
_cell_length_c 7.2298
_cell_angle_alpha 90.00
_cell_angle_beta 93.77
_cell_angle_gamma 90.00
_space_group_name_H-M_alt 'P 1 2/m 1'
_space_group_IT_number 10
_space_group_name_Hall '-P 2y'
loop_
_atom_site_label
_atom_site_type_symbol
_atom_site_fract_x
_atom_site_fract_y
_atom_site_fract_z
Sr1 Sr 0.0000 0.0000 0.0000
Pa1 Pa 0.0000 0.5000 0.0000
In1 In 0.5000 0.2421 0.5000
Cl1 Cl 0.1292 0.2715 0.7925
Cl2 Cl 0.3228 0.5000 0.1998
Cl3 Cl 0.3301 0.0000 0.2593
```


[2]
Compound: PaTlIn2Cl8
Source: the Alexandria database
Functional: GGA-PBE
Structure: optimized geometry

Raw formation energy in eV/atom: -1.387

CIF file:
```
data_PaTlIn2Cl8
_cell_length_a 7.0974
_cell_length_b 7.2417
_cell_length_c 9.3210
_cell_angle_alpha 89.92
_cell_angle_beta 89.96
_cell_angle_gamma 87.61
_space_group_name_H-M_alt 'P -1'
_space_group_IT_number 2
_space_group_name_Hall '-P 1'
loop_
_atom_site_label
_atom_site_type_symbol
_atom_site_fract_x
_atom_site_fract_y
_atom_site_fract_z
Pa1 Pa 0.0000 0.0000 0.0000
Tl1 Tl 0.0000 0.0000 0.5000
In1 In 0.5002 0.4991 0.7276
Cl1 Cl 0.1243 0.2124 0.8017
Cl2 Cl 0.1257 0.2113 0.1977
Cl3 Cl 0.3105 0.8126 0.9990
Cl4 Cl 0.3433 0.7122 0.5005
```


[3]
Compound: In2Pb2Cl
Source: the Alexandria database
Functional: GGA-PBE
Structure: optimized geometry

Raw formation energy in eV/atom: -0.155

CIF file:
```
data_In2Pb2Cl
_cell_length_a 4.1887
_cell_length_b 4.1887
_cell_length_c 17.2684
_cell_angle_alpha 90.00
_cell_angle_beta 90.00
_cell_angle_gamma 90.00
_space_group_name_H-M_alt 'I 4/m m m'
_space_group_IT_number 139
_space_group_name_Hall '-I 4 2'
loop_
_atom_site_label
_atom_site_type_symbol
_atom_site_fract_x
_atom_site_fract_y
_atom_site_fract_z
In1 In 0.0000 0.5000 0.2500
Pb1 Pb 0.0000 0.0000 0.1017
Cl1 Cl 0.0000 0.0000 0.5000
```